## SrFePb (GGA-PBE)

Data for SrFePb after structural relaxation.

Cell lengths 5.257, 5.257, 5.257 Å; angles 60.00, 60.00, 60.00 degrees
Atoms (fractional coordinates):
Fe: 0.000 0.000 0.000
Pb: 0.500 0.500 0.500
Sr: 0.750 0.750 0.750

## Properties
DFT total energy in eV per atom: -3.643
Energy relative to the elements in kJ/mol of atoms: 94